Record 1
The following is a PBE-GGA calculation of a relaxed LiCdBr4 crystal, from Alexandria.

Lattice parameters (Å, degrees): 6.817 6.817 6.870 111.74 111.74 35.71
Positions (direct):
Li1 0.000 0.000 0.000
Cd1 0.500 0.500 0.500
Br1 0.129 0.129 0.447
Br2 0.385 0.385 0.052
Br3 0.615 0.615 0.948
Br4 0.871 0.871 0.553

- Symmetry: C2/m
- Formation energy without anion corrections: -0.7880 eV per atom
- DOS(E_F): 5.74 states/eV/f.u.
- Energy above the lowest structure with this stoichiometry: 0 meV/atom
- Size of the total moment: 0.8 μB/f.u.
- Density: 4.2 g/cm³


Record 2
The following is a PBE-GGA calculation of a relaxed LiI2O6 crystal, from Alexandria.

Lattice parameters (Å, degrees): 5.298 5.298 8.149 90.09 90.09 43.07
Positions (direct):
Li1 0.000 0.000 0.000
I1 0.276 0.276 0.724
I2 0.724 0.724 0.276
O1 0.101 0.101 0.784
O2 0.204 0.204 0.349
O3 0.373 0.373 0.913
O4 0.627 0.627 0.087
O5 0.796 0.796 0.651
O6 0.899 0.899 0.216

- Symmetry: C2/m
- Formation energy without anion corrections: -0.4939 eV per atom
- DOS(E_F): 1.55 states/eV/f.u.
- Energy above the lowest structure with this stoichiometry: 24 meV/atom
- Size of the total moment: 0.0 μB/f.u.
- Density: 3.8 g/cm³


Record 3
The following is a PBE-GGA calculation of a relaxed Pm4Dy3Hg4 crystal, from Alexandria.

Lattice parameters (Å, degrees): 10.757 10.757 10.757 160.50 128.76 55.34
Positions (direct):
Pm1 0.019 0.840 0.180
Pm2 0.340 0.160 0.180
Pm3 0.660 0.840 0.820
Pm4 0.981 0.160 0.820
Dy1 0.000 0.500 0.500
Dy2 0.403 0.403 0.000
Dy3 0.597 0.597 0.000
Hg1 0.272 0.772 0.500
Hg2 0.288 0.000 0.288
Hg3 0.712 0.000 0.712
Hg4 0.728 0.228 0.500

- Symmetry: Immm
- Formation energy: -0.28 eV per atom
- DOS(E_F): 15.80 states/eV/f.u.
- Size of the total moment: 0.0 μB/f.u.
- Density: 9.6 g/cm³


Record 4
The following is a PBE-GGA calculation of a relaxed Ce2ThAs4 crystal, from Alexandria.

Lattice parameters (Å, degrees): 7.327 7.327 13.120 90.00 90.00 146.92
Positions (direct):
Ce1 0.133 0.867 0.566
Ce2 0.133 0.867 0.934
Ce3 0.867 0.133 0.066
Ce4 0.867 0.133 0.434
Th1 0.386 0.614 0.750
Th2 0.614 0.386 0.250
As1 0.030 0.970 0.750
As2 0.232 0.768 0.129
As3 0.232 0.768 0.371
As4 0.500 0.500 0.000
As5 0.500 0.500 0.500
As6 0.768 0.232 0.629
As7 0.768 0.232 0.871
As8 0.970 0.030 0.250

- Symmetry: Cmcm
- Formation energy: -1.09 eV per atom
- DOS(E_F): 2.72 states/eV/f.u.
- Size of the total moment: 0.3 μB/f.u.
- Density: 7.0 g/cm³